Entry from Alexandria via LeMat-Bulk: an optimized crystal structure of Ac6CdRu3 (PBE).

Values from the calculation:
DFT total energy   -5.4991 eV/atom

POSCAR file:
```
Ac6CdRu3
1.0
12.7098 0.0000 0.0000
0.0000 4.3564 0.0000
-4.1395 0.0000 12.1321
Ac Cd Ru
12 2 6
direct
0.0308 0.2500 0.3902 Ac
0.1125 0.2500 0.9500 Ac
0.2017 0.7500 0.2570 Ac
0.2793 0.7500 0.7637 Ac
0.3509 0.2500 0.5331 Ac
0.4283 0.7500 0.0851 Ac
0.5717 0.2500 0.9149 Ac
0.6491 0.7500 0.4669 Ac
0.7207 0.2500 0.2363 Ac
0.7983 0.2500 0.7430 Ac
0.8875 0.7500 0.0500 Ac
0.9692 0.7500 0.6098 Ac
0.4441 0.2500 0.3025 Cd
0.5559 0.7500 0.6975 Cd
0.0449 0.2500 0.1691 Ru
0.1891 0.7500 0.5069 Ru
0.3385 0.2500 0.9176 Ru
0.6615 0.7500 0.0824 Ru
0.8109 0.2500 0.4931 Ru
0.9551 0.7500 0.8309 Ru
```

***

Entry from Alexandria via LeMat-Bulk: an optimized crystal structure of V4IrRh3 (PBE).

Values from the calculation:
DFT total energy   -8.8183 eV/atom

POSCAR file:
```
V4IrRh3
1.0
8.7196 0.0000 0.0000
0.0000 5.4868 0.0000
0.0000 0.0000 4.6116
V Ir Rh
8 2 6
direct
0.0000 0.2489 0.0000 V
0.0000 0.7511 0.0000 V
0.2500 0.2482 0.3628 V
0.2500 0.7518 0.3628 V
0.5000 0.2489 0.0000 V
0.5000 0.7511 0.0000 V
0.7500 0.2482 0.6372 V
0.7500 0.7518 0.6372 V
0.0000 0.0000 0.5000 Ir
0.5000 0.0000 0.5000 Ir
0.0000 0.5000 0.5000 Rh
0.2500 0.0000 0.8690 Rh
0.2500 0.5000 0.8725 Rh
0.5000 0.5000 0.5000 Rh
0.7500 0.0000 0.1310 Rh
0.7500 0.5000 0.1275 Rh
```

***

Entry from Alexandria via LeMat-Bulk: an optimized crystal structure of Tm5Tl2Co2 (PBE).

Values from the calculation:
DFT total energy   -4.8686 eV/atom

POSCAR file:
```
Tm5Tl2Co2
1.0
8.2938 -3.6182 0.0000
8.2938 3.6182 0.0000
0.0000 0.0000 7.1962
Tm Tl Co
10 4 4
direct
0.0000 0.0000 0.0000 Tm
0.0655 0.7062 0.6753 Tm
0.2062 0.5655 0.1753 Tm
0.2938 0.9345 0.6753 Tm
0.4345 0.7938 0.1753 Tm
0.5000 0.5000 0.5000 Tm
0.5655 0.2062 0.8247 Tm
0.7062 0.0655 0.3247 Tm
0.7938 0.4345 0.8247 Tm
0.9345 0.2938 0.3247 Tm
0.2274 0.2274 0.0000 Tl
0.2726 0.2726 0.5000 Tl
0.7274 0.7274 0.5000 Tl
0.7726 0.7726 0.0000 Tl
0.1143 0.8857 0.3871 Co
0.3857 0.6143 0.8871 Co
0.6143 0.3857 0.1129 Co
0.8857 0.1143 0.6129 Co
```

***

Entry from Alexandria via LeMat-Bulk: an optimized crystal structure of Ho3Co2Sn4 (PBE).

Values from the calculation:
DFT total energy   -5.2898 eV/atom
Energy above the lowest structure with this stoichiometry   110 meV per atom

POSCAR file:
```
Ho3Co2Sn4
1.0
5.8988 -4.6853 0.0000
5.8988 4.6853 0.0000
-1.3217 0.0000 7.4856
Ho Co Sn
6 4 8
direct
0.0347 0.9653 0.7500 Ho
0.2589 0.4430 0.7689 Ho
0.4430 0.2589 0.2689 Ho
0.5570 0.7411 0.7311 Ho
0.7411 0.5570 0.2311 Ho
0.9653 0.0347 0.2500 Ho
0.0960 0.3450 0.4160 Co
0.3450 0.0960 0.9160 Co
0.6550 0.9040 0.0840 Co
0.9040 0.6550 0.5840 Co
0.0692 0.3139 0.0543 Sn
0.2042 0.6602 0.4277 Sn
0.3139 0.0692 0.5543 Sn
0.3398 0.7958 0.0723 Sn
0.6602 0.2042 0.9277 Sn
0.6861 0.9308 0.4457 Sn
0.7958 0.3398 0.5723 Sn
0.9308 0.6861 0.9457 Sn
```

***

Q: Among the records above, which one has the highest DFT total energy?
A: Tm5Tl2Co2

***

Q: The lowest DFT total energy belongs to which entry?
A: V4IrRh3

***

Q: The highest DFT total energy belongs to which entry?
A: Tm5Tl2Co2

***

Q: Which of these has the highest DFT total energy?
A: Tm5Tl2Co2